{"formula": "LiMnRe2", "functional": "PBE", "state": "relaxed", "cell": [[-4.5529, -0.4239, -1.7705], [-2.9601, -3.1631, 2.2970], [2.7442, 4.0296, 0.5250]], "species": ["Li", "Re", "Re", "Mn"], "frac_coords": [[0.4913, 0.4913, 0.0000], [0.0092, 0.0092, 0.0000], [0.7566, 0.2566, 0.5000], [0.2429, 0.7429, 0.5000]], "formation_energy_ev_per_atom": 0.265, "relative_energy_ev_per_atom": 0.088, "space_group": "Imm2 (44)"}